A plane-wave DFT calculation with PBE was carried out for crystalline KNiAs2 at its relaxed geometry.

The calculation puts the excess energy over the best structure of this formula in the dataset at 811 meV/atom. For the magnetic moment, the calculation gives 0.0 μB per cell. Its total energy is -28.39 eV per cell.

Unit cell a=4.3013 b=4.3013 c=8.5984 alpha=90.00 beta=90.00 gamma=90.00
Space group I-4m2 (No. 119)
Symmetry-distinct sites (fractional):
K 0.0000 0.0000 0.0000 x2
Ni 0.0000 0.5000 0.7500 x2
As 0.0000 0.0000 0.5000 x2
As 0.0000 0.5000 0.2500 x2